Entry 1:
## Y2HoEr2Mg5 (PBE-GGA)

Data for an optimized crystal structure of Y2HoEr2Mg5.

## Properties
calculated formation energy = 7.5 kJ per mole of atoms
E_tot = -3.38 eV per atom

Geometry as CIF:
```
data_Y2HoEr2Mg5
_space_group_name_H-M_alt 'P 1'
_space_group_IT_number 1
_space_group_name_Hall 'P 1'
_cell_length_a 5.031
_cell_length_b 10.571
_cell_length_c 10.571
_cell_angle_alpha 90.00
_cell_angle_beta 90.00
_cell_angle_gamma 90.00
loop_
_atom_site_label
_atom_site_type_symbol
_atom_site_fract_x
_atom_site_fract_y
_atom_site_fract_z
Y1 Y 0.000 0.678 0.178
Y2 Y 0.000 0.322 0.822
Y3 Y 0.000 0.178 0.322
Y4 Y 0.000 0.822 0.678
Ho1 Ho 0.000 0.000 0.000
Ho2 Ho 0.000 0.500 0.500
Er1 Er 0.000 0.118 0.618
Er2 Er 0.000 0.882 0.382
Er3 Er 0.000 0.618 0.882
Er4 Er 0.000 0.382 0.118
Mg1 Mg 0.500 0.198 0.069
Mg2 Mg 0.500 0.802 0.931
Mg3 Mg 0.500 0.069 0.802
Mg4 Mg 0.500 0.698 0.431
Mg5 Mg 0.500 0.931 0.198
Mg6 Mg 0.500 0.302 0.569
Mg7 Mg 0.500 0.569 0.698
Mg8 Mg 0.500 0.431 0.302
Mg9 Mg 0.500 0.500 0.000
Mg10 Mg 0.500 0.000 0.500
```

Entry 2:
## Zr6MoRh (PBE-GGA)

Data for an optimized crystal structure of Zr6MoRh.

## Properties
calculated formation energy = -19.4 kJ per mole of atoms
E_tot = -8.89 eV per atom

Geometry as CIF:
```
data_Zr6MoRh
_space_group_name_H-M_alt 'P 1'
_space_group_IT_number 1
_space_group_name_Hall 'P 1'
_cell_length_a 8.166
_cell_length_b 8.166
_cell_length_c 8.166
_cell_angle_alpha 146.48
_cell_angle_beta 146.48
_cell_angle_gamma 48.13
loop_
_atom_site_label
_atom_site_type_symbol
_atom_site_fract_x
_atom_site_fract_y
_atom_site_fract_z
Zr1 Zr 0.256 0.256 0.000
Zr2 Zr 0.891 0.391 0.500
Zr3 Zr 0.391 0.891 0.500
Zr4 Zr 0.109 0.609 0.500
Zr5 Zr 0.744 0.744 0.000
Zr6 Zr 0.609 0.109 0.500
Mo1 Mo 0.500 0.500 0.000
Rh1 Rh 0.000 0.000 0.000
```

Entry 3:
## RbMn2Cl (PBE-GGA)

Data for an optimized crystal structure of RbMn2Cl.

## Properties
formation energy (no corrections) = 0.946 eV per atom
energy above the most stable polymorph in this dataset = 0.470 eV/atom
E_tot = -4.34 eV per atom

Geometry as CIF:
```
data_RbMn2Cl
_space_group_name_H-M_alt 'P 1'
_space_group_IT_number 1
_space_group_name_Hall 'P 1'
_cell_length_a 5.655
_cell_length_b 5.655
_cell_length_c 5.655
_cell_angle_alpha 60.00
_cell_angle_beta 60.00
_cell_angle_gamma 60.00
loop_
_atom_site_label
_atom_site_type_symbol
_atom_site_fract_x
_atom_site_fract_y
_atom_site_fract_z
Mn1 Mn 0.250 0.250 0.250
Mn2 Mn 0.750 0.750 0.750
Rb1 Rb 0.500 0.500 0.500
Cl1 Cl 0.000 0.000 0.000
```

Entry 4:
## ZrAl2Cu3 (PBE-GGA)

Data for an optimized crystal structure of ZrAl2Cu3.

## Properties
energy above the most stable polymorph in this dataset = 0.266 eV/atom
calculated formation energy = 0.1 kJ per mole of atoms
E_tot = -4.72 eV per atom

Geometry as CIF:
```
data_ZrAl2Cu3
_space_group_name_H-M_alt 'P 1'
_space_group_IT_number 1
_space_group_name_Hall 'P 1'
_cell_length_a 6.392
_cell_length_b 6.392
_cell_length_c 7.212
_cell_angle_alpha 90.00
_cell_angle_beta 90.00
_cell_angle_gamma 137.84
loop_
_atom_site_label
_atom_site_type_symbol
_atom_site_fract_x
_atom_site_fract_y
_atom_site_fract_z
Cu1 Cu 0.893 0.606 0.250
Cu2 Cu 0.394 0.107 0.250
Cu3 Cu 0.832 0.168 0.250
Cu4 Cu 0.107 0.394 0.750
Cu5 Cu 0.606 0.893 0.750
Cu6 Cu 0.168 0.832 0.750
Zr1 Zr 0.000 0.000 0.000
Zr2 Zr 0.000 0.000 0.500
Al1 Al 0.314 0.686 0.060
Al2 Al 0.686 0.314 0.560
Al3 Al 0.686 0.314 0.940
Al4 Al 0.314 0.686 0.440
```